Material: GdScB4
Method: DFT, GGA-PBE
State: optimized geometry

Values from the calculation:
Spin magnetization   0.00 μB per formula unit

Unit cell a=3.2172 b=3.2172 c=7.4883 alpha=90.00 beta=90.00 gamma=120.00
With the nearest neighbours (Å) after each atom.
Fractional positions:
Gd: 0.0000 0.0000 0.0000  12 B 2.74
Sc: 0.0000 0.0000 0.5000  12 B 2.54
B: 0.3333 0.6667 0.2685  3 B 1.86
B: 0.3333 0.6667 0.7315  3 B 1.86
B: 0.6667 0.3333 0.2685  3 B 1.86
B: 0.6667 0.3333 0.7315  3 B 1.86

=====

Material: TbTm2Al7Cu2
Method: DFT, GGA-PBE
State: optimized geometry

Values from the calculation:
Spin magnetization   0.00 μB per formula unit

Unit cell a=9.0112 b=9.0112 c=9.0112 alpha=35.28 beta=35.28 gamma=35.28
With the nearest neighbours (Å) after each atom.
Fractional positions:
Tb: 0.0000 0.0000 0.0000  6 Cu 3.15, 12 Al 3.39
Tm: 0.1423 0.1423 0.1423  12 Al 3.16-3.23, 3 Tm 3.39
Tm: 0.8577 0.8577 0.8577  12 Al 3.16-3.23, 3 Tm 3.39
Al: 0.0728 0.5823 0.5823  2 Cu 2.53-2.57, 5 Al 2.68-2.78
Al: 0.4177 0.4177 0.9272  2 Cu 2.53-2.57, 5 Al 2.68-2.78
Al: 0.4177 0.9272 0.4177  2 Cu 2.53-2.57, 5 Al 2.68-2.78
Al: 0.5000 0.5000 0.5000  6 Al 2.74
Al: 0.5823 0.0728 0.5823  2 Cu 2.53-2.57, 5 Al 2.68-2.78
Al: 0.5823 0.5823 0.0728  2 Cu 2.53-2.57, 5 Al 2.68-2.78
Al: 0.9272 0.4177 0.4177  2 Cu 2.53-2.57, 5 Al 2.68-2.78
Cu: 0.3352 0.3352 0.3352  6 Al 2.53-2.57
Cu: 0.6648 0.6648 0.6648  6 Al 2.53-2.57

=====

Material: BaGd
Method: DFT, GGA-PBE
State: optimized geometry

Values from the calculation:
Spin magnetization   0.02 μB per formula unit
Excess energy over the best structure of this formula in the dataset   1.342 eV per atom

Unit cell a=5.5932 b=5.5932 c=5.5932 alpha=60.00 beta=60.00 gamma=60.00
With the nearest neighbours (Å) after each atom.
Fractional positions:
Ba: 0.0000 0.0000 0.0000  4 Gd 3.43
Gd: 0.7500 0.7500 0.7500  4 Ba 3.43

=====

Material: LuTa2Si
Method: DFT, GGA-PBE
State: optimized geometry

Values from the calculation:
Spin magnetization   0.01 μB per formula unit

Unit cell a=4.7134 b=4.7134 c=4.7134 alpha=60.00 beta=60.00 gamma=60.00
With the nearest neighbours (Å) after each atom.
Fractional positions:
Lu: 0.0000 0.0000 0.0000  4 Si 2.89, 4 Ta 2.89
Ta: 0.2500 0.2500 0.2500  4 Ta 2.89, 4 Lu 2.89
Ta: 0.5000 0.5000 0.5000  4 Si 2.89, 4 Ta 2.89
Si: 0.7500 0.7500 0.7500  4 Ta 2.89, 4 Lu 2.89

=====

Material: TbPr3Si4
Method: DFT, GGA-PBE
State: optimized geometry

Values from the calculation:
Spin magnetization   0.02 μB per formula unit

Unit cell a=5.9191 b=3.9368 c=8.2425 alpha=90.00 beta=90.43 gamma=90.00
With the nearest neighbours (Å) after each atom.
Fractional positions:
Tb: 0.0000 0.0000 0.0000  7 Si 3.02-3.21
Pr: 0.2712 0.0000 0.5007  7 Si 3.10-3.27
Pr: 0.4996 0.5000 0.8601  7 Si 3.05-3.23
Pr: 0.7718 0.5000 0.3583  7 Si 3.08-3.29
Si: 0.0077 0.5000 0.7217  2 Si 2.51
Si: 0.2585 0.5000 0.2106  2 Si 2.52
Si: 0.5055 0.0000 0.1423  2 Si 2.52
Si: 0.7658 0.0000 0.6481  2 Si 2.51

=====

Material: Li3Nb3Ga2O12
Method: DFT, GGA-PBE
State: optimized geometry

Values from the calculation:
Spin magnetization   0.00 μB per formula unit

Unit cell a=9.9998 b=9.9998 c=9.9998 alpha=109.47 beta=109.47 gamma=109.47
With the nearest neighbours (Å) after each atom.
Fractional positions:
Li: 0.1250 0.7500 0.8750  4 O 1.80
Li: 0.1250 0.8750 0.2500  4 O 1.80
Li: 0.2500 0.1250 0.8750  4 O 1.80
Li: 0.2500 0.6250 0.3750  4 O 1.80
Li: 0.3750 0.2500 0.6250  4 O 1.80
Li: 0.3750 0.6250 0.7500  4 O 1.80
Li: 0.6250 0.3750 0.2500  4 O 1.80
Li: 0.6250 0.7500 0.3750  4 O 1.80
Li: 0.7500 0.3750 0.6250  4 O 1.80
Li: 0.7500 0.8750 0.1250  4 O 1.80
Li: 0.8750 0.1250 0.7500  4 O 1.80
Li: 0.8750 0.2500 0.1250  4 O 1.80
Nb: 0.1250 0.2500 0.3750  8 O 2.14-2.19
Nb: 0.1250 0.3750 0.7500  8 O 2.14-2.19
Nb: 0.2500 0.3750 0.1250  8 O 2.14-2.19
Nb: 0.2500 0.8750 0.6250  8 O 2.14-2.19
Nb: 0.3750 0.1250 0.2500  8 O 2.14-2.19
Nb: 0.3750 0.7500 0.1250  8 O 2.14-2.19
Nb: 0.6250 0.2500 0.8750  8 O 2.14-2.19
Nb: 0.6250 0.8750 0.7500  8 O 2.14-2.19
Nb: 0.7500 0.1250 0.3750  8 O 2.14-2.19
Nb: 0.7500 0.6250 0.8750  8 O 2.14-2.19
Nb: 0.8750 0.6250 0.2500  8 O 2.14-2.19
Nb: 0.8750 0.7500 0.6250  8 O 2.14-2.19
Ga: 0.0000 0.0000 0.0000  6 O 1.97
Ga: 0.0000 0.0000 0.5000  6 O 1.97
Ga: 0.0000 0.5000 0.0000  6 O 1.97
Ga: 0.0000 0.5000 0.5000  6 O 1.97
Ga: 0.5000 0.0000 0.0000  6 O 1.97
Ga: 0.5000 0.0000 0.5000  6 O 1.97
Ga: 0.5000 0.5000 0.0000  6 O 1.97
Ga: 0.5000 0.5000 0.5000  6 O 1.97
O: 0.0451 0.2226 0.1308  1 Li 1.80, 1 Ga 1.97
O: 0.0451 0.3225 0.9142  1 Li 1.80, 1 Ga 1.97
O: 0.0858 0.6308 0.4082  1 Li 1.80, 1 Ga 1.97
O: 0.0858 0.9549 0.6775  1 Li 1.80, 1 Ga 1.97
O: 0.0918 0.7226 0.6775  1 Li 1.80, 1 Ga 1.97
O: 0.0918 0.8692 0.4142  1 Li 1.80, 1 Ga 1.97
O: 0.1308 0.0451 0.2226  1 Li 1.80, 1 Ga 1.97
O: 0.1308 0.5858 0.9082  1 Li 1.80, 1 Ga 1.97
O: 0.1775 0.2226 0.5918  1 Li 1.80, 1 Ga 1.97
O: 0.1775 0.4549 0.5858  1 Li 1.80, 1 Ga 1.97
O: 0.2226 0.1308 0.0451  1 Li 1.80, 1 Ga 1.97
O: 0.2226 0.5918 0.1775  1 Li 1.80, 1 Ga 1.97
O: 0.2774 0.3225 0.9082  1 Li 1.80, 1 Ga 1.97
O: 0.2774 0.4549 0.3692  1 Li 1.80, 1 Ga 1.97
O: 0.3225 0.9082 0.2774  1 Li 1.80, 1 Ga 1.97
O: 0.3225 0.9142 0.0451  1 Li 1.80, 1 Ga 1.97
O: 0.3692 0.2774 0.4549  1 Li 1.80, 1 Ga 1.97
O: 0.3692 0.5918 0.9142  1 Li 1.80, 1 Ga 1.97
O: 0.4082 0.0858 0.6308  1 Li 1.80, 1 Ga 1.97
O: 0.4082 0.8225 0.7774  1 Li 1.80, 1 Ga 1.97
O: 0.4142 0.0918 0.8692  1 Li 1.80, 1 Ga 1.97
O: 0.4142 0.8225 0.5451  1 Li 1.80, 1 Ga 1.97
O: 0.4549 0.3692 0.2774  1 Li 1.80, 1 Ga 1.97
O: 0.4549 0.5858 0.1775  1 Li 1.80, 1 Ga 1.97
O: 0.5451 0.4142 0.8225  1 Li 1.80, 1 Ga 1.97
O: 0.5451 0.6308 0.7226  1 Li 1.80, 1 Ga 1.97
O: 0.5858 0.1775 0.4549  1 Li 1.80, 1 Ga 1.97
O: 0.5858 0.9082 0.1308  1 Li 1.80, 1 Ga 1.97
O: 0.5918 0.1775 0.2226  1 Li 1.80, 1 Ga 1.97
O: 0.5918 0.9142 0.3692  1 Li 1.80, 1 Ga 1.97
O: 0.6308 0.4082 0.0858  1 Li 1.80, 1 Ga 1.97
O: 0.6308 0.7226 0.5451  1 Li 1.80, 1 Ga 1.97
O: 0.6775 0.0858 0.9549  1 Li 1.80, 1 Ga 1.97
O: 0.6775 0.0918 0.7226  1 Li 1.80, 1 Ga 1.97
O: 0.7226 0.5451 0.6308  1 Li 1.80, 1 Ga 1.97
O: 0.7226 0.6775 0.0918  1 Li 1.80, 1 Ga 1.97
O: 0.7774 0.4082 0.8225  1 Li 1.80, 1 Ga 1.97
O: 0.7774 0.8692 0.9549  1 Li 1.80, 1 Ga 1.97
O: 0.8225 0.5451 0.4142  1 Li 1.80, 1 Ga 1.97
O: 0.8225 0.7774 0.4082  1 Li 1.80, 1 Ga 1.97
O: 0.8692 0.4142 0.0918  1 Li 1.80, 1 Ga 1.97
O: 0.8692 0.9549 0.7774  1 Li 1.80, 1 Ga 1.97
O: 0.9082 0.1308 0.5858  1 Li 1.80, 1 Ga 1.97
O: 0.9082 0.2774 0.3225  1 Li 1.80, 1 Ga 1.97
O: 0.9142 0.0451 0.3225  1 Li 1.80, 1 Ga 1.97
O: 0.9142 0.3692 0.5918  1 Li 1.80, 1 Ga 1.97
O: 0.9549 0.6775 0.0858  1 Li 1.80, 1 Ga 1.97
O: 0.9549 0.7774 0.8692  1 Li 1.80, 1 Ga 1.97

=====

Material: LuNbAu
Method: DFT, GGA-PBE
State: optimized geometry

Values from the calculation:
Spin magnetization   0.07 μB per formula unit
Excess energy over the best structure of this formula in the dataset   0.000 eV per atom
Calculated formation energy   0.188 eV/atom

Unit cell a=4.6445 b=4.6445 c=4.6445 alpha=60.00 beta=60.00 gamma=60.00
With the nearest neighbours (Å) after each atom.
Fractional positions:
Lu: 0.0000 0.0000 0.0000  4 Au 2.84
Nb: 0.5000 0.5000 0.5000  4 Au 2.84
Au: 0.2500 0.2500 0.2500  4 Nb 2.84, 4 Lu 2.84

=====

Material: DyZnOs
Method: DFT, GGA-PBE
State: optimized geometry

Values from the calculation:
Spin magnetization   0.01 μB per formula unit
Calculated formation energy   0.839 eV/atom

Unit cell a=4.5782 b=4.5782 c=4.5782 alpha=60.00 beta=60.00 gamma=60.00
With the nearest neighbours (Å) after each atom.
Fractional positions:
Dy: 0.0000 0.0000 0.0000  4 Zn 2.80, 4 Os 2.80
Zn: 0.2500 0.2500 0.2500  4 Dy 2.80
Os: 0.7500 0.7500 0.7500  4 Dy 2.80

=====

Material: GdCdTe3Pb
Method: DFT, GGA-PBE
State: optimized geometry

Values from the calculation:
Spin magnetization   0.01 μB per formula unit

Unit cell a=7.7942 b=7.7942 c=11.3234 alpha=90.00 beta=90.00 gamma=146.85
With the nearest neighbours (Å) after each atom.
Fractional positions:
Gd: 0.0000 0.0000 0.0000  6 Te 3.15-3.20
Gd: 0.0000 0.0000 0.5000  6 Te 3.15-3.20
Cd: 0.4748 0.5252 0.7500  4 Te 2.91-2.92
Cd: 0.5252 0.4748 0.2500  4 Te 2.91-2.92
Te: 0.1002 0.8998 0.7500  2 Cd 2.91, 2 Gd 3.20
Te: 0.3546 0.6454 0.5465  1 Cd 2.92, 2 Gd 3.15
Te: 0.3546 0.6454 0.9535  1 Cd 2.92, 2 Gd 3.15
Te: 0.6454 0.3546 0.0465  1 Cd 2.92, 2 Gd 3.15
Te: 0.6454 0.3546 0.4535  1 Cd 2.92, 2 Gd 3.15
Te: 0.8998 0.1002 0.2500  2 Cd 2.91, 2 Gd 3.20
Pb: 0.2119 0.7881 0.2500  6 Te 3.35-3.58, 2 Cd 3.57
Pb: 0.7881 0.2119 0.7500  6 Te 3.35-3.58, 2 Cd 3.57

=====

Material: NaTlOs2
Method: DFT, GGA-PBE
State: optimized geometry

Values from the calculation:
Spin magnetization   0.07 μB per formula unit

Unit cell a=4.5693 b=4.5693 c=4.5693 alpha=60.00 beta=60.00 gamma=60.00
With the nearest neighbours (Å) after each atom.
Fractional positions:
Na: 0.0000 0.0000 0.0000  4 Tl 2.80, 4 Os 2.80
Tl: 0.7500 0.7500 0.7500  4 Na 2.80, 4 Os 2.80
Os: 0.2500 0.2500 0.2500  4 Na 2.80, 4 Os 2.80
Os: 0.5000 0.5000 0.5000  4 Tl 2.80, 4 Os 2.80

=====

Material: GdHoSi4Ir2
Method: DFT, GGA-PBE
State: optimized geometry

Values from the calculation:
Spin magnetization   0.01 μB per formula unit

Unit cell a=2.9670 b=14.4215 c=14.4215 alpha=15.76 beta=90.00 gamma=90.00
With the nearest neighbours (Å) after each atom.
Fractional positions:
Gd: 0.0000 0.0000 0.0000  2 Ir 2.86, 3 Si 2.91-3.20, 2 Gd 2.97
Ho: 0.0000 0.6933 0.6933  2 Ir 2.82, 3 Si 2.88-3.15, 2 Ho 2.97
Si: 0.0000 0.1198 0.1198  2 Si 2.36
Si: 0.0000 0.5748 0.5748  2 Si 2.36
Si: 0.0000 0.8036 0.8036  2 Ir 2.28, 1 Si 2.41
Si: 0.0000 0.8881 0.8881  2 Ir 2.28, 1 Si 2.41
Ir: 0.0000 0.2636 0.2636  2 Si 2.28
Ir: 0.0000 0.4279 0.4279  2 Si 2.28

=====

Material: Nb2GaCo2Bi
Method: DFT, GGA-PBE
State: optimized geometry

Values from the calculation:
Spin magnetization   0.01 μB per formula unit

Unit cell a=7.2402 b=7.2402 c=7.2402 alpha=131.64 beta=131.64 gamma=70.79
With the nearest neighbours (Å) after each atom.
Fractional positions:
Nb: 0.2407 0.2407 0.0000  4 Co 2.46-2.67
Nb: 0.5093 0.0093 0.5000  4 Co 2.46-2.67
Nb: 0.7593 0.7593 0.0000  4 Co 2.46-2.67
Nb: 0.9907 0.4907 0.5000  4 Co 2.46-2.67
Ga: 0.0000 0.0000 0.0000  4 Co 2.52
Ga: 0.7500 0.2500 0.5000  4 Co 2.52
Co: 0.1121 0.6250 0.9871  4 Nb 2.46-2.67, 2 Ga 2.52, 2 Bi 2.61
Co: 0.3750 0.3621 0.4871  4 Nb 2.46-2.67, 2 Ga 2.52, 2 Bi 2.61
Co: 0.6379 0.1250 0.0129  4 Nb 2.46-2.67, 2 Ga 2.52, 2 Bi 2.61
Co: 0.8750 0.8879 0.5129  4 Nb 2.46-2.67, 2 Ga 2.52, 2 Bi 2.61
Bi: 0.2500 0.7500 0.5000  4 Co 2.61
Bi: 0.5000 0.5000 0.0000  4 Co 2.61

=====

| no. | calculated total energy (eV per atom) |
| --- | --- |
| 1 | -6.935 |
| 2 | -4.418 |
| 3 | -1.672 |
| 4 | -8.356 |
| 5 | -5.838 |
| 6 | -7.162 |
| 7 | -5.774 |
| 8 | -4.858 |
| 9 | -3.796 |
| 10 | -5.578 |
| 11 | -5.964 |
| 12 | -7.100 |